No. 1
Compound: TiSeF3
Source: the Alexandria database
Functional: GGA-PBE
Structure: optimized geometry

Results
As for the formation energy from raw total energies: -2.57 eV/atom. The space-group type is No. 1. As for the crystal system: triclinic. The total DFT energy (no corrections) comes out at -59.7 eV per cell.

Cell: 5.011 7.163 5.015 Å, 82.04 80.20 98.52°
Positions (direct):
F (0.477, 0.518, 0.388)
F (0.466, 0.834, 0.405)
F (0.049, 0.834, 0.811)
Se (0.172, 0.249, 0.739)
F (0.470, 0.684, 0.900)
Ti (0.743, 0.743, 0.132)
F (0.974, 0.669, 0.395)
Ti (0.206, 0.609, 0.667)
F (0.883, 0.519, 0.972)
Se (0.815, 0.104, 0.099)

---

No. 2
Compound: TiSeF2
Source: the Alexandria database
Functional: GGA-PBE
Structure: optimized geometry

Results
As for the formation energy from raw total energies: -1.70 eV/atom. The space-group type is No. 122. As for the crystal system: tetragonal. The total DFT energy (no corrections) comes out at -43.8 eV per cell.

Cell: 4.226 4.226 7.375 Å, 73.35 73.35 90.00°
Positions (direct):
Ti (0.500, 0.500, 0.000)
Ti (0.250, 0.750, 0.500)
F (0.296, 0.625, 0.250)
Se (0.000, 0.000, 0.000)
F (0.454, 0.125, 0.250)
F (0.375, 0.546, 0.750)
F (0.875, 0.704, 0.750)
Se (0.750, 0.250, 0.500)

---

No. 3
Compound: TiSeF2
Source: the Alexandria database
Functional: GGA-PBE
Structure: optimized geometry

Results
As for the formation energy from raw total energies: -1.88 eV/atom. The space-group type is No. 166. As for the crystal system: trigonal. The total DFT energy (no corrections) comes out at -22.6 eV per cell.

Cell: 10.311 10.311 10.311 Å, 15.66 15.66 15.66°
Positions (direct):
Ti (0.500, 0.500, 0.500)
F (0.123, 0.123, 0.123)
F (0.877, 0.877, 0.877)
Se (0.000, 0.000, 0.000)

---

formation energy from raw total energies of number 2 (TiSeF2)? -1.70 eV/atom

---

Copy entry 2 word for word.
Compound: TiSeF2
Source: the Alexandria database
Functional: GGA-PBE
Structure: optimized geometry

Results
As for the formation energy from raw total energies: -1.70 eV/atom. The space-group type is No. 122. As for the crystal system: tetragonal. The total DFT energy (no corrections) comes out at -43.8 eV per cell.

Cell: 4.226 4.226 7.375 Å, 73.35 73.35 90.00°
Positions (direct):
Ti (0.500, 0.500, 0.000)
Ti (0.250, 0.750, 0.500)
F (0.296, 0.625, 0.250)
Se (0.000, 0.000, 0.000)
F (0.454, 0.125, 0.250)
F (0.375, 0.546, 0.750)
F (0.875, 0.704, 0.750)
Se (0.750, 0.250, 0.500)

---

Please write out number 3 again, unchanged.
Compound: TiSeF2
Source: the Alexandria database
Functional: GGA-PBE
Structure: optimized geometry

Results
As for the formation energy from raw total energies: -1.88 eV/atom. The space-group type is No. 166. As for the crystal system: trigonal. The total DFT energy (no corrections) comes out at -22.6 eV per cell.

Cell: 10.311 10.311 10.311 Å, 15.66 15.66 15.66°
Positions (direct):
Ti (0.500, 0.500, 0.500)
F (0.123, 0.123, 0.123)
F (0.877, 0.877, 0.877)
Se (0.000, 0.000, 0.000)

---

Copy entry 3 word for word.
Compound: TiSeF2
Source: the Alexandria database
Functional: GGA-PBE
Structure: optimized geometry

Results
As for the formation energy from raw total energies: -1.88 eV/atom. The space-group type is No. 166. As for the crystal system: trigonal. The total DFT energy (no corrections) comes out at -22.6 eV per cell.

Cell: 10.311 10.311 10.311 Å, 15.66 15.66 15.66°
Positions (direct):
Ti (0.500, 0.500, 0.500)
F (0.123, 0.123, 0.123)
F (0.877, 0.877, 0.877)
Se (0.000, 0.000, 0.000)